a | This record from Alexandria describes an optimized crystal structure of BaMo3Cl. The functional is PBE-GGA.

Cell lengths 4.690, 4.690, 4.690 Å; angles 90.00, 90.00, 90.00 degrees
Each line ends with the local moment (μB).
Atoms (fractional coordinates):
Mo  0.000  0.000  0.500  0.48
Mo  0.000  0.500  0.000  0.31
Mo  0.500  0.000  0.000  0.25
Cl  0.000  0.000  0.000  -0.01
Ba  0.500  0.500  0.500  0.05


b | This record from Alexandria describes an optimized crystal structure of BaMo3Cl. The functional is PBE-GGA.

Cell lengths 5.449, 5.449, 5.449 Å; angles 90.00, 90.00, 90.00 degrees
Each line ends with the local moment (μB).
Atoms (fractional coordinates):
Mo  0.000  0.500  0.000  2.82
Mo  0.000  0.000  0.500  2.50
Mo  0.500  0.000  0.000  3.17
Ba  0.000  0.000  0.000  0.00
Cl  0.500  0.500  0.500  0.21


Most stable structure, least stable structure: a, b.


a | This record from Alexandria describes an optimized crystal structure of BaMoCl3. The functional is PBE-GGA.

Cell lengths 5.024, 5.024, 5.024 Å; angles 90.00, 90.00, 90.00 degrees
Each line ends with the local moment (μB).
Atoms (fractional coordinates):
Cl  0.000  0.000  0.500  0.01
Cl  0.500  0.000  0.000  0.05
Cl  0.000  0.500  0.000  0.02
Mo  0.000  0.000  0.000  2.14
Ba  0.500  0.500  0.500  -0.02


b | This record from Alexandria describes an optimized crystal structure of BaMoCl3. The functional is PBE-GGA.

Cell lengths 5.968, 5.968, 5.968 Å; angles 90.00, 90.00, 90.00 degrees
Each line ends with the local moment (μB).
Atoms (fractional coordinates):
Cl  0.500  0.000  0.000  0.00
Cl  0.000  0.000  0.500  -0.01
Cl  0.000  0.500  0.000  0.00
Mo  0.500  0.500  0.500  4.15
Ba  0.000  0.000  0.000  0.00


Most stable structure, least stable structure: a, b.


a | This record from Alexandria describes an optimized crystal structure of BaMoPCl2. The functional is PBE-GGA.

Cell lengths 5.818, 5.818, 6.436 Å; angles 90.00, 90.00, 90.00 degrees
Each line ends with the local moment (μB).
Atoms (fractional coordinates):
Ba  0.000  0.000  0.000  -0.03
Cl  0.500  0.000  0.000  -0.01
Cl  0.000  0.500  0.000  -0.01
P  0.000  0.000  0.500  -0.82
Mo  0.500  0.500  0.500  4.07


b | This record from Alexandria describes an optimized crystal structure of BaMoPCl2. The functional is PBE-GGA.

Cell lengths 5.068, 5.068, 4.780 Å; angles 90.00, 90.00, 90.00 degrees
Each line ends with the local moment (μB).
Atoms (fractional coordinates):
Cl  0.500  0.000  0.000  0.02
Cl  0.000  0.500  0.000  0.02
Mo  0.000  0.000  0.000  1.40
P  0.000  0.000  0.500  -0.03
Ba  0.500  0.500  0.500  0.00


Most stable structure, least stable structure: b, a.